Material: PuNpNiO6
Method: DFT, GGA+U
State: relaxed

The structure belongs to space group P-31c (No. 163); the cell edges are 5.6795, 5.6795 and 8.7039 Å and the angles 90.00°, 90.00° and 120.00°. The asymmetric unit holds Pu at (0.3333, 0.6667, 0.2500), Np at (0.3333, 0.6667, 0.7500), Ni at (0.0000, 0.0000, 0.0000) and O at (0.0130, 0.3434, 0.6299).

For the final energy, the calculation gives -8.90 eV/atom.